P.
GdDy2Ni after structural relaxation, computed with PBE.

CIF file:
```
data_GdDy2Ni
_cell_length_a 10.5173
_cell_length_b 10.5173
_cell_length_c 10.5173
_cell_angle_alpha 19.59
_cell_angle_beta 19.59
_cell_angle_gamma 19.59
_symmetry_space_group_name_H-M 'P 1'
_symmetry_Int_Tables_number 1
loop_
_symmetry_equiv_pos_as_xyz
'x,y,z'
loop_
_atom_site_label
_atom_site_fract_x
_atom_site_fract_y
_atom_site_fract_z
Gd1 0.0000 0.0000 0.0000
Dy1 0.1108 0.1108 0.1108
Dy2 0.8892 0.8892 0.8892
Ni1 0.5000 0.5000 0.5000
```

Calculated volume = 28.58 Å³/atom
Calculated density = 7.86 Mg/m³
SG = R-3m, No. 166
Crystal system = trigonal



Q.
GdDy2Ni after structural relaxation, computed with PBE.

CIF file:
```
data_GdDy2Ni
_cell_length_a 3.4530
_cell_length_b 3.4530
_cell_length_c 8.6767
_cell_angle_alpha 90.00
_cell_angle_beta 90.00
_cell_angle_gamma 90.00
_symmetry_space_group_name_H-M 'P 1'
_symmetry_Int_Tables_number 1
loop_
_symmetry_equiv_pos_as_xyz
'x,y,z'
loop_
_atom_site_label
_atom_site_fract_x
_atom_site_fract_y
_atom_site_fract_z
Gd1 0.0000 0.0000 0.0000
Dy1 0.5000 0.5000 0.3151
Dy2 0.5000 0.5000 0.6849
Ni1 0.0000 0.0000 0.5000
```

Calculated volume = 25.86 Å³/atom
Calculated density = 8.68 Mg/m³
SG = P4/mmm, No. 123
Crystal system = tetragonal



What should be chosen as the least stable of them? Choose P.



P.
GdDy2Os after structural relaxation, computed with PBE.

CIF file:
```
data_GdDy2Os
_cell_length_a 10.9835
_cell_length_b 10.9835
_cell_length_c 10.9835
_cell_angle_alpha 18.06
_cell_angle_beta 18.06
_cell_angle_gamma 18.06
_symmetry_space_group_name_H-M 'P 1'
_symmetry_Int_Tables_number 1
loop_
_symmetry_equiv_pos_as_xyz
'x,y,z'
loop_
_atom_site_label
_atom_site_fract_x
_atom_site_fract_y
_atom_site_fract_z
Gd1 0.0000 0.0000 0.0000
Dy1 0.1050 0.1050 0.1050
Dy2 0.8950 0.8950 0.8950
Os1 0.5000 0.5000 0.5000
```

Calculated volume = 27.79 Å³/atom
Calculated density = 10.05 Mg/m³
SG = R-3m, No. 166
Crystal system = trigonal



Q.
GdDy2Os after structural relaxation, computed with PBE.

CIF file:
```
data_GdDy2Os
_cell_length_a 3.4050
_cell_length_b 3.4050
_cell_length_c 9.2883
_cell_angle_alpha 90.00
_cell_angle_beta 90.00
_cell_angle_gamma 90.00
_symmetry_space_group_name_H-M 'P 1'
_symmetry_Int_Tables_number 1
loop_
_symmetry_equiv_pos_as_xyz
'x,y,z'
loop_
_atom_site_label
_atom_site_fract_x
_atom_site_fract_y
_atom_site_fract_z
Gd1 0.0000 0.0000 0.0000
Dy1 0.5000 0.5000 0.3214
Dy2 0.5000 0.5000 0.6786
Os1 0.0000 0.0000 0.5000
```

Calculated volume = 26.92 Å³/atom
Calculated density = 10.37 Mg/m³
SG = P4/mmm, No. 123
Crystal system = tetragonal



What should be chosen as the least stable of them? Choose P.



P.
GdDyOs after structural relaxation, computed with PBE.

CIF file:
```
data_GdDyOs
_cell_length_a 7.0739
_cell_length_b 7.0739
_cell_length_c 7.0739
_cell_angle_alpha 152.15
_cell_angle_beta 152.15
_cell_angle_gamma 39.79
_symmetry_space_group_name_H-M 'P 1'
_symmetry_Int_Tables_number 1
loop_
_symmetry_equiv_pos_as_xyz
'x,y,z'
loop_
_atom_site_label
_atom_site_fract_x
_atom_site_fract_y
_atom_site_fract_z
Gd1 0.0000 0.0000 0.0000
Dy1 0.2506 0.2506 0.0000
Os1 0.6271 0.6271 0.0000
```

Calculated volume = 25.69 Å³/atom
Calculated density = 10.99 Mg/m³
SG = I4mm, No. 107
Crystal system = tetragonal



Q.
GdDyOs after structural relaxation, computed with PBE.

CIF file:
```
data_GdDyOs
_cell_length_a 4.7955
_cell_length_b 4.7955
_cell_length_c 4.7955
_cell_angle_alpha 60.00
_cell_angle_beta 60.00
_cell_angle_gamma 60.00
_symmetry_space_group_name_H-M 'P 1'
_symmetry_Int_Tables_number 1
loop_
_symmetry_equiv_pos_as_xyz
'x,y,z'
loop_
_atom_site_label
_atom_site_fract_x
_atom_site_fract_y
_atom_site_fract_z
Gd1 0.0000 0.0000 0.0000
Dy1 0.5000 0.5000 0.5000
Os1 0.7500 0.7500 0.7500
```

Calculated volume = 25.99 Å³/atom
Calculated density = 10.86 Mg/m³
SG = F-43m, No. 216
Crystal system = cubic



What should be chosen as the least stable of them? Choose Q.



P.
GdDyPa after structural relaxation, computed with PBE.

CIF file:
```
data_GdDyPa
_cell_length_a 7.9499
_cell_length_b 7.9499
_cell_length_c 7.9499
_cell_angle_alpha 155.29
_cell_angle_beta 155.29
_cell_angle_gamma 35.23
_symmetry_space_group_name_H-M 'P 1'
_symmetry_Int_Tables_number 1
loop_
_symmetry_equiv_pos_as_xyz
'x,y,z'
loop_
_atom_site_label
_atom_site_fract_x
_atom_site_fract_y
_atom_site_fract_z
Gd1 0.0000 0.0000 0.0000
Dy1 0.3111 0.3111 0.0000
Pa1 0.6556 0.6556 0.0000
```

Calculated volume = 29.24 Å³/atom
Calculated density = 10.43 Mg/m³
SG = I4mm, No. 107
Crystal system = tetragonal



Q.
GdDyPa after structural relaxation, computed with PBE.

CIF file:
```
data_GdDyPa
_cell_length_a 3.4268
_cell_length_b 3.4268
_cell_length_c 8.5547
_cell_angle_alpha 90.00
_cell_angle_beta 90.00
_cell_angle_gamma 120.00
_symmetry_space_group_name_H-M 'P 1'
_symmetry_Int_Tables_number 1
loop_
_symmetry_equiv_pos_as_xyz
'x,y,z'
loop_
_atom_site_label
_atom_site_fract_x
_atom_site_fract_y
_atom_site_fract_z
Gd1 0.0000 0.0000 0.0000
Dy1 0.3333 0.6667 0.6361
Pa1 0.6667 0.3333 0.3181
```

Calculated volume = 29.00 Å³/atom
Calculated density = 10.51 Mg/m³
SG = P3m1, No. 156
Crystal system = trigonal



What should be chosen as the least stable of them? Choose P.



P.
GdDy2Pa after structural relaxation, computed with PBE.

CIF file:
```
data_GdDy2Pa
_cell_length_a 12.3886
_cell_length_b 12.3886
_cell_length_c 12.3886
_cell_angle_alpha 15.45
_cell_angle_beta 15.45
_cell_angle_gamma 15.45
_symmetry_space_group_name_H-M 'P 1'
_symmetry_Int_Tables_number 1
loop_
_symmetry_equiv_pos_as_xyz
'x,y,z'
loop_
_atom_site_label
_atom_site_fract_x
_atom_site_fract_y
_atom_site_fract_z
Gd1 0.0000 0.0000 0.0000
Dy1 0.4129 0.4129 0.4129
Dy2 0.5871 0.5871 0.5871
Pa1 0.5000 0.5000 0.5000
```

Calculated volume = 29.40 Å³/atom
Calculated density = 10.07 Mg/m³
SG = R-3m, No. 166
Crystal system = trigonal



Q.
GdDy2Pa after structural relaxation, computed with PBE.

CIF file:
```
data_GdDy2Pa
_cell_length_a 4.8992
_cell_length_b 4.8992
_cell_length_c 4.9290
_cell_angle_alpha 90.00
_cell_angle_beta 90.00
_cell_angle_gamma 90.00
_symmetry_space_group_name_H-M 'P 1'
_symmetry_Int_Tables_number 1
loop_
_symmetry_equiv_pos_as_xyz
'x,y,z'
loop_
_atom_site_label
_atom_site_fract_x
_atom_site_fract_y
_atom_site_fract_z
Gd1 0.0000 0.0000 0.0000
Dy1 0.0000 0.5000 0.5000
Dy2 0.5000 0.0000 0.5000
Pa1 0.5000 0.5000 0.0000
```

Calculated volume = 29.58 Å³/atom
Calculated density = 10.01 Mg/m³
SG = P4/mmm, No. 123
Crystal system = tetragonal



R.
GdDy2Pa after structural relaxation, computed with PBE.

CIF file:
```
data_GdDy2Pa
_cell_length_a 3.4103
_cell_length_b 3.4103
_cell_length_c 10.2312
_cell_angle_alpha 90.00
_cell_angle_beta 90.00
_cell_angle_gamma 90.00
_symmetry_space_group_name_H-M 'P 1'
_symmetry_Int_Tables_number 1
loop_
_symmetry_equiv_pos_as_xyz
'x,y,z'
loop_
_atom_site_label
_atom_site_fract_x
_atom_site_fract_y
_atom_site_fract_z
Gd1 0.0000 0.0000 0.0000
Dy1 0.5000 0.5000 0.2689
Dy2 0.5000 0.5000 0.7311
Pa1 0.0000 0.0000 0.5000
```

Calculated volume = 29.75 Å³/atom
Calculated density = 9.95 Mg/m³
SG = P4/mmm, No. 123
Crystal system = tetragonal



What should be chosen as the least stable of them? Choose P.



P.
Gd2DyPb after structural relaxation, computed with PBE.

CIF file:
```
data_Gd2DyPb
_cell_length_a 12.2726
_cell_length_b 12.2726
_cell_length_c 12.2726
_cell_angle_alpha 16.63
_cell_angle_beta 16.63
_cell_angle_gamma 16.63
_symmetry_space_group_name_H-M 'P 1'
_symmetry_Int_Tables_number 1
loop_
_symmetry_equiv_pos_as_xyz
'x,y,z'
loop_
_atom_site_label
_atom_site_fract_x
_atom_site_fract_y
_atom_site_fract_z
Gd1 0.0883 0.0883 0.0883
Gd2 0.9117 0.9117 0.9117
Dy1 0.5000 0.5000 0.5000
Pb1 0.0000 0.0000 0.0000
```

Calculated volume = 33.00 Å³/atom
Calculated density = 8.61 Mg/m³
SG = R-3m, No. 166
Crystal system = trigonal



Q.
Gd2DyPb after structural relaxation, computed with PBE.

CIF file:
```
data_Gd2DyPb
_cell_length_a 4.8717
_cell_length_b 4.8717
_cell_length_c 4.9349
_cell_angle_alpha 90.00
_cell_angle_beta 90.00
_cell_angle_gamma 90.00
_symmetry_space_group_name_H-M 'P 1'
_symmetry_Int_Tables_number 1
loop_
_symmetry_equiv_pos_as_xyz
'x,y,z'
loop_
_atom_site_label
_atom_site_fract_x
_atom_site_fract_y
_atom_site_fract_z
Gd1 0.0000 0.5000 0.0000
Gd2 0.5000 0.0000 0.0000
Dy1 0.0000 0.0000 0.5000
Pb1 0.5000 0.5000 0.5000
```

Calculated volume = 29.28 Å³/atom
Calculated density = 9.70 Mg/m³
SG = P4/mmm, No. 123
Crystal system = tetragonal



What should be chosen as the least stable of them? Choose P.